# La2PRh, optimized geometry, DFT GGA-PBEsol
data_La2PRh
_chemical_formula_sum 'La4 P2 Rh2'
_space_group_name_H-M_alt 'A m m 2'
_space_group_IT_number 38
_cell_length_a 4.1733
_cell_length_b 4.1148
_cell_length_c 10.7701
_cell_angle_alpha 90.00
_cell_angle_beta 90.00
_cell_angle_gamma 90.00
loop_
_space_group_symop_operation_xyz
'x,y,z'
'-x,-y,z'
'-x,y,z'
'x,-y,z'
'x,y+1/2,z+1/2'
'-x,-y+1/2,z+1/2'
'-x,y+1/2,z+1/2'
'x,-y+1/2,z+1/2'
loop_
_atom_site_label
_atom_site_type_symbol
_atom_site_fract_x
_atom_site_fract_y
_atom_site_fract_z
La1 La 0.0000 0.0000 0.0000
La2 La 0.5000 0.0000 0.2762
P1 P 0.0000 0.0000 0.7107
Rh1 Rh 0.5000 0.0000 0.5600
# * raw total energy: -7.210 eV/atom